A PBEsol-optimized structure of ZnNi2Ir. Source: the Alexandria database, functional meta-GGA SCAN.

abc: 4.403 4.403 4.403
angles: 130.70 130.70 72.29
Positions (direct):
Zn (0.000, 0.000, 0.000)
Ni (0.250, 0.750, 0.500)
Ni (0.750, 0.250, 0.500)
Ir (0.500, 0.500, 0.000)

Properties
ΔE_f in eV/atom: -0.06
Theoretical density in Mg/m³: 12.99
Total DFT energy (no corrections) in eV per atom: -29.300

=====

A PBEsol-optimized structure of KCuBiOs2. Source: the Alexandria database, functional meta-GGA SCAN.

abc: 4.580 4.580 5.369
angles: 90.00 90.00 90.00
Positions (direct):
K (0.000, 0.000, 0.000)
Cu (0.500, 0.500, 0.500)
Bi (0.000, 0.000, 0.500)
Os (0.000, 0.500, 0.000)
Os (0.500, 0.000, 0.000)

Properties
ΔE_f in eV/atom: 3.53
Theoretical density in Mg/m³: 10.20
Total DFT energy (no corrections) in eV per atom: -45.641

=====

A PBEsol-optimized structure of Li4AlNi3O8. Source: the Alexandria database, functional meta-GGA SCAN.

abc: 18.797 18.797 18.797
angles: 8.66 8.66 8.66
Positions (direct):
Li (0.125, 0.125, 0.125)
Li (0.375, 0.375, 0.375)
Li (0.625, 0.625, 0.625)
Li (0.875, 0.875, 0.875)
Al (0.000, 0.000, 0.000)
Ni (0.250, 0.250, 0.250)
Ni (0.500, 0.500, 0.500)
Ni (0.750, 0.750, 0.750)
O (0.065, 0.065, 0.065)
O (0.185, 0.185, 0.185)
O (0.315, 0.315, 0.315)
O (0.435, 0.435, 0.435)
O (0.565, 0.565, 0.565)
O (0.685, 0.685, 0.685)
O (0.815, 0.815, 0.815)
O (0.935, 0.935, 0.935)

Properties
Theoretical density in Mg/m³: 4.56
Formation energy from raw total energies in eV/atom: -1.968
Total DFT energy (no corrections) in eV per atom: -9.198